# 1
A relaxed structure of Na2ScSnSe4. Source: Alexandria via LeMat-Bulk, functional PBE.

Unit cell a=7.0607 b=4.0001 c=7.3669 alpha=90.00 beta=108.21 gamma=90.00
Positions (direct):
Na1 0.0000 0.0000 0.0000
Na2 0.5000 0.5000 0.0000
Sc1 0.0000 0.5000 0.5000
Sn1 0.5000 0.0000 0.5000
Se1 0.2312 0.0000 0.7183
Se2 0.2450 0.5000 0.2752
Se3 0.7550 0.5000 0.7248
Se4 0.7688 0.0000 0.2817



# 2
A relaxed structure of Na3Sc3SnSe8. Source: Alexandria via LeMat-Bulk, functional PBE.

Unit cell a=8.3871 b=8.3871 c=8.3871 alpha=55.78 beta=55.78 gamma=55.78
Positions (direct):
Na1 0.0000 0.5000 0.5000
Na2 0.5000 0.0000 0.5000
Na3 0.5000 0.5000 0.0000
Sc1 0.0000 0.0000 0.5000
Sc2 0.0000 0.5000 0.0000
Sc3 0.5000 0.0000 0.0000
Sn1 0.5000 0.5000 0.5000
Se1 0.2372 0.7410 0.7410
Se2 0.2389 0.2389 0.2389
Se3 0.2590 0.2590 0.7628
Se4 0.2590 0.7628 0.2590
Se5 0.7410 0.2372 0.7410
Se6 0.7410 0.7410 0.2372
Se7 0.7611 0.7611 0.7611
Se8 0.7628 0.2590 0.2590



# 3
A relaxed structure of NaTb2ScSe4. Source: Alexandria via LeMat-Bulk, functional PBE.

Unit cell a=6.9833 b=4.0376 c=7.0770 alpha=90.00 beta=109.14 gamma=90.00
Positions (direct):
Na1 0.0000 0.0000 0.0000
Tb1 0.5000 0.0000 0.5000
Tb2 0.5000 0.5000 0.0000
Sc1 0.0000 0.5000 0.5000
Se1 0.2385 0.0000 0.7411
Se2 0.2458 0.5000 0.2559
Se3 0.7542 0.5000 0.7441
Se4 0.7615 0.0000 0.2589



# 4
A relaxed structure of NaTb3Sc2Se6. Source: Alexandria via LeMat-Bulk, functional PBE.

Unit cell a=8.9952 b=8.9952 c=8.0828 alpha=102.59 beta=102.59 gamma=25.86
Positions (direct):
Na1 0.0000 0.0000 0.0000
Tb1 0.0000 0.0000 0.5000
Tb2 0.3379 0.3379 0.1739
Tb3 0.6621 0.6621 0.8261
Sc1 0.3321 0.3321 0.6538
Sc2 0.6679 0.6679 0.3462
Se1 0.1689 0.1689 0.0954
Se2 0.1698 0.1698 0.5771
Se3 0.4935 0.4935 0.7483
Se4 0.5065 0.5065 0.2517
Se5 0.8302 0.8302 0.4229
Se6 0.8311 0.8311 0.9046



# 5
A relaxed structure of NaTbSc4Se8. Source: Alexandria via LeMat-Bulk, functional PBE.

Unit cell a=8.2169 b=8.2169 c=8.2169 alpha=58.71 beta=58.71 gamma=58.71
Positions (direct):
Na1 0.0000 0.0000 0.0000
Tb1 0.3659 0.3659 0.3659
Sc1 0.3644 0.3644 0.8871
Sc2 0.3644 0.8871 0.3644
Sc3 0.7425 0.7425 0.7425
Sc4 0.8871 0.3644 0.3644
Se1 0.1217 0.1217 0.5893
Se2 0.1217 0.5893 0.1217
Se3 0.1333 0.1333 0.1333
Se4 0.1363 0.6197 0.6197
Se5 0.5893 0.1217 0.1217
Se6 0.6116 0.6116 0.6116
Se7 0.6197 0.1363 0.6197
Se8 0.6197 0.6197 0.1363



# 6
A relaxed structure of Na2TbSc3Se6. Source: Alexandria via LeMat-Bulk, functional PBE.

Unit cell a=6.8547 b=6.8547 c=7.0596 alpha=99.32 beta=99.32 gamma=119.96
Positions (direct):
Na1 0.1664 0.8336 0.0000
Na2 0.8336 0.1664 0.0000
Tb1 0.5000 0.5000 0.0000
Sc1 0.0000 0.0000 0.5000
Sc2 0.3321 0.6679 0.5000
Sc3 0.6679 0.3321 0.5000
Se1 0.0801 0.4108 0.7323
Se2 0.2594 0.2594 0.2691
Se3 0.4108 0.0801 0.7323
Se4 0.5892 0.9199 0.2677
Se5 0.7406 0.7406 0.7309
Se6 0.9199 0.5892 0.2677



# 7
A relaxed structure of Na4Tb3ScSe8. Source: Alexandria via LeMat-Bulk, functional PBE.

Unit cell a=8.4564 b=8.4564 c=8.4564 alpha=58.18 beta=58.18 gamma=58.18
Positions (direct):
Na1 0.0000 0.0000 0.0000
Na2 0.0000 0.5000 0.5000
Na3 0.5000 0.0000 0.5000
Na4 0.5000 0.5000 0.0000
Tb1 0.0000 0.0000 0.5000
Tb2 0.0000 0.5000 0.0000
Tb3 0.5000 0.0000 0.0000
Sc1 0.5000 0.5000 0.5000
Se1 0.2441 0.2441 0.2441
Se2 0.2533 0.7361 0.7361
Se3 0.2639 0.2639 0.7467
Se4 0.2639 0.7467 0.2639
Se5 0.7361 0.2533 0.7361
Se6 0.7361 0.7361 0.2533
Se7 0.7467 0.2639 0.2639
Se8 0.7559 0.7559 0.7559



# 8
A relaxed structure of Na3Tb2ScSe6. Source: Alexandria via LeMat-Bulk, functional PBE.

Unit cell a=7.0879 b=7.0879 c=7.3857 alpha=99.22 beta=99.22 gamma=120.02
Positions (direct):
Na1 0.0000 0.0000 0.0000
Na2 0.3315 0.6685 0.0000
Na3 0.6685 0.3315 0.0000
Tb1 0.1664 0.8336 0.5000
Tb2 0.8336 0.1664 0.5000
Sc1 0.5000 0.5000 0.5000
Se1 0.1038 0.4246 0.2736
Se2 0.2552 0.2552 0.7256
Se3 0.4246 0.1038 0.2736
Se4 0.5754 0.8962 0.7264
Se5 0.7448 0.7448 0.2744
Se6 0.8962 0.5754 0.7264



# 9
A relaxed structure of Na2ScTeSe4. Source: Alexandria via LeMat-Bulk, functional PBE.

Unit cell a=8.1272 b=8.1272 c=8.0370 alpha=116.64 beta=116.64 gamma=89.87
Positions (direct):
Na1 0.0000 0.0000 0.0000
Na2 0.0000 0.0000 0.5000
Na3 0.0000 0.5000 0.0000
Na4 0.5000 0.0000 0.5000
Sc1 0.5000 0.5000 0.0000
Sc2 0.5000 0.5000 0.5000
Te1 0.0000 0.5000 0.5000
Te2 0.5000 0.0000 0.0000
Se1 0.2401 0.7154 0.4767
Se2 0.2780 0.2917 0.5538
Se3 0.2846 0.7599 0.0233
Se4 0.2917 0.2780 0.0538
Se5 0.7083 0.7220 0.9462
Se6 0.7154 0.2401 0.9767
Se7 0.7220 0.7083 0.4462
Se8 0.7599 0.2846 0.5233



# 10
A relaxed structure of NaTh2ScSe4. Source: Alexandria via LeMat-Bulk, functional PBE.

Unit cell a=6.9304 b=3.9719 c=7.4353 alpha=90.00 beta=107.48 gamma=90.00
Positions (direct):
Na1 0.0000 0.0000 0.0000
Th1 0.0000 0.5000 0.5000
Th2 0.5000 0.0000 0.5000
Sc1 0.5000 0.5000 0.0000
Se1 0.2514 0.5000 0.2300
Se2 0.2633 0.0000 0.7766
Se3 0.7367 0.0000 0.2234
Se4 0.7486 0.5000 0.7700



# 11
A relaxed structure of Na4Th3ScSe8. Source: Alexandria via LeMat-Bulk, functional PBE.

Unit cell a=8.6139 b=8.6139 c=8.6139 alpha=57.03 beta=57.03 gamma=57.03
Positions (direct):
Na1 0.0000 0.0000 0.0000
Na2 0.0000 0.5000 0.5000
Na3 0.5000 0.0000 0.5000
Na4 0.5000 0.5000 0.0000
Th1 0.0000 0.0000 0.5000
Th2 0.0000 0.5000 0.0000
Th3 0.5000 0.0000 0.0000
Sc1 0.5000 0.5000 0.5000
Se1 0.2500 0.2500 0.2500
Se2 0.2601 0.7369 0.7369
Se3 0.2631 0.2631 0.7399
Se4 0.2631 0.7399 0.2631
Se5 0.7369 0.2601 0.7369
Se6 0.7369 0.7369 0.2601
Se7 0.7399 0.2631 0.2631
Se8 0.7500 0.7500 0.7500



# 12
A relaxed structure of Na2ThScSe4. Source: Alexandria via LeMat-Bulk, functional PBE.

Unit cell a=7.0483 b=4.0761 c=7.4690 alpha=90.00 beta=108.19 gamma=90.00
Positions (direct):
Na1 0.0000 0.0000 0.0000
Na2 0.5000 0.5000 0.0000
Th1 0.0000 0.5000 0.5000
Sc1 0.5000 0.0000 0.5000
Se1 0.2616 0.0000 0.7379
Se2 0.2716 0.5000 0.2752
Se3 0.7284 0.5000 0.7248
Se4 0.7384 0.0000 0.2621



The records above give, respectively, calculated total energy values of -0.165; -0.183; -0.203; -0.211; -0.215; -0.204; -0.184; -0.185; -0.155; -0.222; -0.197; -0.195 hartree per atom.